Below is a geometry-optimized NaSrY2Rh structure, with properties calculated at the GGA-PBE level.

Cell lengths 5.422, 5.422, 6.036 Å; angles 90.00, 90.00, 90.00 degrees
Fractional positions:
Na 0.000 0.000 0.000
Sr 0.500 0.500 0.000
Y 0.000 0.500 0.500
Y 0.500 0.000 0.500
Rh 0.500 0.500 0.500

Summary:
SG: P4/mmm
Energy of formation: -87.0 kJ/mol of formula units


Below is a geometry-optimized ZnSn3Ir structure, with properties calculated at the GGA-PBE level.

Cell lengths 5.021, 5.021, 5.021 Å; angles 90.00, 90.00, 90.00 degrees
Fractional positions:
Zn 0.000 0.000 0.000
Sn 0.000 0.000 0.500
Sn 0.000 0.500 0.000
Sn 0.500 0.000 0.000
Ir 0.500 0.500 0.500

Summary:
SG: Pm-3m
Energy of formation: 462.8 kJ/mol of formula units


Below is a geometry-optimized LiRe2Sb structure, with properties calculated at the GGA-PBE level.

Cell lengths 2.701, 2.701, 9.476 Å; angles 90.00, 90.00, 90.00 degrees
Fractional positions:
Li 0.000 0.000 0.000
Re 0.500 0.500 0.232
Re 0.500 0.500 0.768
Sb 0.000 0.000 0.500

Summary:
Energy relative to the elements, uncorrected: 1.0453 eV/atom
SG: P4/mmm


Below is a geometry-optimized YScIn structure, with properties calculated at the GGA-PBE level.

Cell lengths 3.452, 3.452, 7.850 Å; angles 90.00, 90.00, 120.00 degrees
Fractional positions:
Y 0.000 0.000 0.000
Sc 0.333 0.667 0.651
In 0.667 0.333 0.339

Summary:
SG: P3m1
Energy of formation: -48.8 kJ/mol of formula units


Below is a geometry-optimized RbTePtW structure, with properties calculated at the GGA-PBE level.

Cell lengths 3.276, 3.276, 8.767 Å; angles 90.00, 90.00, 90.00 degrees
Fractional positions:
Rb 0.000 0.000 0.000
Te 0.500 0.500 0.342
Pt 0.500 0.500 0.704
W 0.000 0.000 0.528

Summary:
Energy relative to the elements, uncorrected: 0.2012 eV/atom
SG: P4mm


Below is a geometry-optimized BeWSe2 structure, with properties calculated at the GGA-PBE level.

Cell lengths 6.989, 6.989, 6.989 Å; angles 151.73, 150.82, 41.08 degrees
Fractional positions:
Be 0.000 0.000 0.000
W 0.500 0.500 0.000
Se 0.140 0.640 0.500
Se 0.860 0.360 0.500

Summary:
Energy relative to the elements, uncorrected: 0.0432 eV/atom
SG: Immm


Below is a geometry-optimized YV2Ge2 structure, with properties calculated at the GGA-PBE level.

Cell lengths 6.423, 6.423, 6.423 Å; angles 144.82, 144.82, 50.60 degrees
Fractional positions:
Y 0.000 0.000 0.000
V 0.250 0.750 0.500
V 0.750 0.250 0.500
Ge 0.390 0.390 0.000
Ge 0.610 0.610 0.000

Summary:
SG: I4/mmm
Energy of formation: -260.3 kJ/mol of formula units


Below is a geometry-optimized Cs2GaSiCl6 structure, with properties calculated at the GGA-PBE level.

Cell lengths 7.482, 7.482, 7.482 Å; angles 119.88, 119.88, 90.22 degrees
Fractional positions:
Cs 0.250 0.750 0.500
Cs 0.750 0.250 0.500
Ga 0.000 0.000 0.000
Si 0.500 0.500 0.000
Cl 0.272 0.272 0.000
Cl 0.272 0.272 0.544
Cl 0.272 0.728 0.000
Cl 0.728 0.272 0.000
Cl 0.728 0.728 0.000
Cl 0.728 0.728 0.456

Summary:
Energy relative to the elements, uncorrected: -1.2909 eV/atom
SG: I4/mmm


Volume for every record listed, in sequence, given in Å³/cell: 177.4 126.6 69.1 81.0 94.1 78.7 87.5 296.7.